Entry 1:
PrEr4Tm7 | GGA-PBE | optimized geometry

Values from the calculation:
The calculation puts the offset from the most stable computed form at 0.000 eV per atom. The magnetic moment is 0.000 Bohr magnetons per cell. The calculation puts the theoretical density at 8989 kg/m³.

a b c (Å): 6.132 7.085 8.716
angles (deg): 90.01 103.58 90.01
Atoms (fractional coordinates):
Pr1 0.000 0.000 0.000
Er1 0.222 0.500 0.665
Er2 0.279 0.251 0.336
Er3 0.721 0.749 0.664
Er4 0.778 0.500 0.335
Tm1 0.000 0.500 0.000
Tm2 0.223 0.000 0.665
Tm3 0.279 0.748 0.336
Tm4 0.500 0.251 0.000
Tm5 0.500 0.749 0.000
Tm6 0.721 0.252 0.664
Tm7 0.777 0.000 0.335

Entry 2:
Sr2Al | GGA-PBE | optimized geometry

Values from the calculation:
The magnetic moment is 0.000 Bohr magnetons per cell. The calculation puts the theoretical density at 2675 kg/m³. As for the total energy: -2.48 eV/atom.

a b c (Å): 8.785 8.785 6.673
angles (deg): 101.33 101.33 29.86
Atoms (fractional coordinates):
Sr1 0.083 0.083 0.294
Sr2 0.342 0.342 0.172
Sr3 0.658 0.658 0.828
Sr4 0.917 0.917 0.706
Al1 0.266 0.266 0.616
Al2 0.734 0.734 0.384

Entry 3:
KMoP2 | GGA-PBE | optimized geometry

Values from the calculation:
The calculation puts the offset from the most stable computed form at 0.447 eV per atom. The magnetic moment is 0.000 Bohr magnetons per cell. The calculation puts the theoretical density at 3844 kg/m³.

a b c (Å): 3.325 3.325 7.699
angles (deg): 90.00 90.00 90.00
Atoms (fractional coordinates):
K1 0.000 0.000 0.000
Mo1 0.500 0.500 0.400
P1 0.000 0.000 0.468
P2 0.500 0.500 0.707

Entry 4:
Rb3WBr8 | GGA-PBE | optimized geometry

Values from the calculation:
The magnetic moment is 2.003 Bohr magnetons per cell. Its raw formation energy is -103.3 kJ/mol of atoms. The calculation puts the theoretical density at 3963 kg/m³.

a b c (Å): 10.340 10.340 9.770
angles (deg): 90.00 90.00 120.00
Atoms (fractional coordinates):
Rb1 0.152 0.304 0.000
Rb2 0.152 0.848 0.000
Rb3 0.304 0.152 0.500
Rb4 0.696 0.848 0.000
Rb5 0.848 0.152 0.500
Rb6 0.848 0.696 0.500
W1 0.333 0.667 0.550
W2 0.667 0.333 0.050
Br1 0.000 0.000 0.241
Br2 0.000 0.000 0.741
Br3 0.104 0.552 0.695
Br4 0.219 0.438 0.397
Br5 0.219 0.781 0.397
Br6 0.333 0.667 0.043
Br7 0.438 0.219 0.897
Br8 0.448 0.552 0.695
Br9 0.448 0.896 0.695
Br10 0.552 0.104 0.195
Br11 0.552 0.448 0.195
Br12 0.562 0.781 0.397
Br13 0.667 0.333 0.543
Br14 0.781 0.219 0.897
Br15 0.781 0.562 0.897
Br16 0.896 0.448 0.195

Entry 5:
Pa3Tl3NiS8 | GGA-PBE | optimized geometry

Values from the calculation:
The magnetic moment is 3.804 Bohr magnetons per cell. Its raw formation energy is -96.9 kJ/mol of atoms. The calculation puts the theoretical density at 6557 kg/m³.

a b c (Å): 7.775 7.775 8.779
angles (deg): 114.60 114.60 62.34
Atoms (fractional coordinates):
Pa1 0.000 0.000 0.000
Pa2 0.000 0.500 0.000
Pa3 0.500 0.000 0.000
Tl1 0.000 0.500 0.500
Tl2 0.500 0.000 0.500
Tl3 0.500 0.500 0.500
Ni1 0.500 0.500 0.000
S1 0.217 0.740 0.198
S2 0.235 0.235 0.200
S3 0.260 0.783 0.802
S4 0.297 0.297 0.831
S5 0.703 0.703 0.169
S6 0.740 0.217 0.198
S7 0.765 0.765 0.800
S8 0.783 0.260 0.802

Entry 6:
Tb2Pm6Ho3In | GGA-PBE | optimized geometry

Values from the calculation:
The magnetic moment is 0.000 Bohr magnetons per cell. The calculation puts the theoretical density at 7797 kg/m³. As for the total energy: -4.56 eV/atom.

a b c (Å): 6.179 6.179 11.772
angles (deg): 95.04 95.04 120.10
Atoms (fractional coordinates):
Tb1 0.166 0.834 0.000
Tb2 0.834 0.166 0.000
Pm1 0.090 0.417 0.751
Pm2 0.256 0.256 0.250
Pm3 0.417 0.090 0.751
Pm4 0.583 0.910 0.249
Pm5 0.744 0.744 0.750
Pm6 0.910 0.583 0.249
Ho1 0.000 0.000 0.500
Ho2 0.333 0.667 0.500
Ho3 0.667 0.333 0.500
In1 0.500 0.500 0.000

Entry 7:
Ac2Pr3SmSe6 | GGA-PBE | optimized geometry

Values from the calculation:
The magnetic moment is 0.000 Bohr magnetons per cell. Its raw formation energy is -177.5 kJ/mol of atoms. The calculation puts the theoretical density at 7293 kg/m³.

a b c (Å): 7.493 7.493 7.476
angles (deg): 99.64 99.64 120.19
Atoms (fractional coordinates):
Ac1 0.166 0.834 0.000
Ac2 0.834 0.166 0.000
Pr1 0.000 0.000 0.500
Pr2 0.329 0.671 0.500
Pr3 0.671 0.329 0.500
Sm1 0.500 0.500 0.000
Se1 0.093 0.416 0.747
Se2 0.264 0.264 0.258
Se3 0.416 0.093 0.747
Se4 0.584 0.907 0.253
Se5 0.736 0.736 0.742
Se6 0.907 0.584 0.253

Entry 8:
CaMnP2Ir | GGA-PBE | optimized geometry

Values from the calculation:
The magnetic moment is 0.000 Bohr magnetons per cell. The calculation puts the theoretical density at 7352 kg/m³. As for the total energy: -6.98 eV/atom.

a b c (Å): 5.684 5.684 5.684
angles (deg): 138.80 138.80 59.68
Atoms (fractional coordinates):
Ca1 0.000 0.000 0.000
Mn1 0.750 0.250 0.500
P1 0.367 0.367 0.000
P2 0.633 0.633 0.000
Ir1 0.250 0.750 0.500

Entry 9:
Ca2La3HoTe6 | GGA-PBE | optimized geometry

Values from the calculation:
The magnetic moment is 0.002 Bohr magnetons per cell. Its raw formation energy is -147.7 kJ/mol of atoms. The calculation puts the theoretical density at 6081 kg/m³.

a b c (Å): 7.763 7.763 7.907
angles (deg): 99.43 99.43 120.02
Atoms (fractional coordinates):
Ca1 0.166 0.834 0.000
Ca2 0.834 0.166 0.000
La1 0.000 0.000 0.500
La2 0.328 0.672 0.500
La3 0.672 0.328 0.500
Ho1 0.500 0.500 0.000
Te1 0.093 0.422 0.766
Te2 0.252 0.252 0.240
Te3 0.422 0.093 0.766
Te4 0.578 0.907 0.234
Te5 0.748 0.748 0.760
Te6 0.907 0.578 0.234

Entry 10:
LiHfAs3 | GGA-PBE | optimized geometry

Values from the calculation:
The calculation puts the offset from the most stable computed form at 0.343 eV per atom. The magnetic moment is 0.000 Bohr magnetons per cell. The calculation puts the theoretical density at 7277 kg/m³.

a b c (Å): 4.540 4.540 4.540
angles (deg): 90.00 90.00 90.00
Atoms (fractional coordinates):
Li1 0.000 0.000 0.000
Hf1 0.500 0.500 0.500
As1 0.000 0.000 0.500
As2 0.000 0.500 0.000
As3 0.500 0.000 0.000

Entry 11:
CsSr2SbI8 | GGA-PBE | optimized geometry

Values from the calculation:
The magnetic moment is 0.000 Bohr magnetons per cell. Its raw formation energy is -111.4 kJ/mol of atoms. The calculation puts the theoretical density at 3983 kg/m³.

a b c (Å): 7.528 7.764 10.308
angles (deg): 89.94 89.91 89.76
Atoms (fractional coordinates):
Cs1 0.000 0.000 0.000
Sr1 0.500 0.500 0.253
Sr2 0.500 0.500 0.747
Sb1 0.000 0.000 0.500
I1 0.239 0.333 0.500
I2 0.245 0.849 0.705
I3 0.246 0.850 0.295
I4 0.259 0.399 0.000
I5 0.741 0.601 0.000
I6 0.754 0.150 0.705
I7 0.755 0.151 0.295
I8 0.761 0.667 0.500

Entry 12:
MgZr3Sc2N6 | GGA-PBE | optimized geometry

Values from the calculation:
The magnetic moment is 0.000 Bohr magnetons per cell. Its raw formation energy is -160.8 kJ/mol of atoms. The calculation puts the theoretical density at 5524 kg/m³.

a b c (Å): 7.202 7.202 6.435
angles (deg): 102.83 102.83 25.88
Atoms (fractional coordinates):
Mg1 0.000 0.000 0.000
Zr1 0.000 0.000 0.500
Zr2 0.335 0.335 0.166
Zr3 0.665 0.665 0.834
Sc1 0.334 0.334 0.669
Sc2 0.666 0.666 0.331
N1 0.167 0.167 0.084
N2 0.167 0.167 0.583
N3 0.500 0.500 0.252
N4 0.500 0.500 0.748
N5 0.833 0.833 0.417
N6 0.833 0.833 0.916

Entry 13:
Ac5Ce3P8 | GGA-PBE | optimized geometry

Values from the calculation:
The magnetic moment is 1.932 Bohr magnetons per cell. The calculation puts the theoretical density at 6566 kg/m³. As for the total energy: -6.55 eV/atom.

a b c (Å): 8.645 8.645 8.645
angles (deg): 59.92 59.92 59.92
Atoms (fractional coordinates):
Ac1 0.000 0.000 0.000
Ac2 0.000 0.500 0.500
Ac3 0.500 0.000 0.500
Ac4 0.500 0.500 0.000
Ac5 0.500 0.500 0.500
Ce1 0.000 0.000 0.500
Ce2 0.000 0.500 0.000
Ce3 0.500 0.000 0.000
P1 0.235 0.750 0.750
P2 0.243 0.243 0.243
P3 0.250 0.250 0.765
P4 0.250 0.765 0.250
P5 0.750 0.235 0.750
P6 0.750 0.750 0.235
P7 0.757 0.757 0.757
P8 0.765 0.250 0.250

Entry 14:
SrLa2Pd9 | GGA-PBE | optimized geometry

Values from the calculation:
The magnetic moment is 0.000 Bohr magnetons per cell. The calculation puts the theoretical density at 9268 kg/m³. As for the total energy: -5.52 eV/atom.

a b c (Å): 9.635 9.635 9.635
angles (deg): 33.07 33.07 33.07
Atoms (fractional coordinates):
Sr1 0.000 0.000 0.000
La1 0.137 0.137 0.137
La2 0.863 0.863 0.863
Pd1 0.082 0.586 0.586
Pd2 0.333 0.333 0.333
Pd3 0.414 0.414 0.918
Pd4 0.414 0.918 0.414
Pd5 0.500 0.500 0.500
Pd6 0.586 0.082 0.586
Pd7 0.586 0.586 0.082
Pd8 0.667 0.667 0.667
Pd9 0.918 0.414 0.414

Entry 15:
CsTl2HgSe2 | GGA-PBE | optimized geometry

Values from the calculation:
The magnetic moment is 0.000 Bohr magnetons per cell. Its raw formation energy is -42.3 kJ/mol of atoms. The calculation puts the theoretical density at 6581 kg/m³.

a b c (Å): 7.082 13.264 4.836
angles (deg): 90.00 90.00 90.00
Atoms (fractional coordinates):
Cs1 0.000 0.000 0.000
Cs2 0.500 0.500 0.500
Tl1 0.214 0.206 0.500
Tl2 0.286 0.706 0.000
Tl3 0.714 0.294 0.000
Tl4 0.786 0.794 0.500
Hg1 0.000 0.500 0.000
Hg2 0.500 0.000 0.500
Se1 0.228 0.839 0.500
Se2 0.272 0.339 0.000
Se3 0.728 0.661 0.000
Se4 0.772 0.161 0.500

Entry 16:
YSbTe2Pd | GGA-PBE | optimized geometry

Values from the calculation:
The calculation puts the offset from the most stable computed form at 0.594 eV per atom. The magnetic moment is 0.000 Bohr magnetons per cell. Its raw formation energy is 36.9 kJ/mol of atoms. The calculation puts the theoretical density at 4927 kg/m³.

a b c (Å): 5.757 5.757 5.819
angles (deg): 90.00 90.00 90.00
Atoms (fractional coordinates):
Y1 0.000 0.000 0.000
Sb1 0.000 0.000 0.500
Te1 0.000 0.500 0.000
Te2 0.500 0.000 0.000
Pd1 0.500 0.500 0.500

Entry 17:
Na2Sb2Au | GGA-PBE | optimized geometry

Values from the calculation:
The calculation puts the offset from the most stable computed form at 0.021 eV per atom. The magnetic moment is 0.000 Bohr magnetons per cell. Its raw formation energy is -31.5 kJ/mol of atoms. The calculation puts the theoretical density at 5947 kg/m³.

a b c (Å): 7.303 7.303 5.095
angles (deg): 90.00 90.00 90.00
Atoms (fractional coordinates):
Na1 0.167 0.333 0.000
Na2 0.333 0.833 0.000
Na3 0.667 0.167 0.000
Na4 0.833 0.667 0.000
Sb1 0.144 0.644 0.500
Sb2 0.356 0.144 0.500
Sb3 0.644 0.856 0.500
Sb4 0.856 0.356 0.500
Au1 0.000 0.000 0.500
Au2 0.500 0.500 0.500

Entry 18:
NbIrAu | GGA-PBE | optimized geometry

Values from the calculation:
The calculation puts the offset from the most stable computed form at 0.000 eV per atom. The magnetic moment is 0.000 Bohr magnetons per cell. The calculation puts the theoretical density at 14463 kg/m³.

a b c (Å): 6.400 6.400 5.139
angles (deg): 101.60 101.60 32.53
Atoms (fractional coordinates):
Nb1 0.138 0.138 0.336
Nb2 0.862 0.862 0.664
Ir1 0.240 0.240 0.812
Ir2 0.760 0.760 0.188
Au1 0.446 0.446 0.224
Au2 0.554 0.554 0.776

Entry 19:
AlTe2Pt | GGA-PBE | optimized geometry

Values from the calculation:
The magnetic moment is 0.000 Bohr magnetons per cell. Its raw formation energy is -15.9 kJ/mol of atoms. The calculation puts the theoretical density at 8306 kg/m³.

a b c (Å): 3.579 3.579 7.447
angles (deg): 90.00 90.00 90.00
Atoms (fractional coordinates):
Al1 0.000 0.000 0.000
Te1 0.000 0.000 0.367
Te2 0.500 0.500 0.797
Pt1 0.500 0.500 0.152

Entry 20:
Pm2ZnCl | GGA-PBE | optimized geometry

Values from the calculation:
The calculation puts the offset from the most stable computed form at 0.075 eV per atom. The magnetic moment is 0.000 Bohr magnetons per cell. Its raw formation energy is -72.6 kJ/mol of atoms. The calculation puts the theoretical density at 6635 kg/m³.

a b c (Å): 3.487 3.487 8.042
angles (deg): 90.00 90.00 90.00
Atoms (fractional coordinates):
Pm1 0.000 0.000 0.232
Pm2 0.000 0.000 0.768
Zn1 0.500 0.500 0.000
Cl1 0.500 0.500 0.500